1.
{
  "formula": "Nd2HIrO6",
  "functional": "PBE",
  "state": "optimized geometry",
  "lattice_angstrom": [[-2.018, 0.890, 4.928], [1.708, -4.657, 1.540], [3.839, 3.578, -2.196]],
  "species": ["O", "O", "O", "O", "O", "O", "Ir", "H", "Nd", "Nd"],
  "frac_coords": [[0.678, 0.267, 0.534], [0.796, 0.296, 0.107], [0.204, 0.704, 0.893], [0.796, 0.812, 0.107], [0.204, 0.188, 0.893], [0.322, 0.733, 0.466], [0.000, 0.500, 0.000], [0.500, 0.000, 0.000], [0.761, 0.743, 0.485], [0.239, 0.257, 0.515]],
  "crystal_system": "monoclinic",
  "energy_ry_per_atom": -0.507,
  "rho_g_cm3": 8.2,
  "spacegroup": "No. 12"
}

2.
{
  "formula": "NdPuC",
  "functional": "PBE",
  "state": "optimized geometry",
  "lattice_angstrom": [[6.495, 0.000, 0.000], [0.000, 3.517, 0.000], [0.000, -1.758, 3.046]],
  "species": ["Nd", "Pu", "C"],
  "frac_coords": [[0.770, 0.667, 0.333], [0.215, 0.333, 0.667], [0.015, 0.000, 0.000]],
  "crystal_system": "trigonal",
  "formation_energy_ev_per_fu": 0.06,
  "energy_ry_per_atom": -0.692,
  "e_above_lowest_polymorph_mev_per_atom": 0,
  "rho_g_cm3": 9.6,
  "spacegroup": "No. 156"
}

3.
{
  "formula": "Y2InAg",
  "functional": "PBE",
  "state": "optimized geometry",
  "lattice_angstrom": [[-4.724, -1.358, -1.812], [-0.758, -0.596, -5.149], [-0.763, -4.781, -1.999]],
  "species": ["In", "Y", "Y", "Ag"],
  "frac_coords": [[0.750, 0.750, 0.750], [0.250, 0.250, 0.250], [0.000, 0.000, 0.000], [0.500, 0.500, 0.500]],
  "crystal_system": "cubic",
  "formation_energy_ev_per_fu": -0.13,
  "energy_ry_per_atom": -0.343,
  "rho_g_cm3": 6.5,
  "spacegroup": "No. 216"
}

4.
{
  "formula": "Dy4InCuHg2",
  "functional": "PBE",
  "state": "optimized geometry",
  "lattice_angstrom": [[-0.542, -0.946, -5.093], [-3.519, -3.470, -1.644], [-7.177, 4.681, -2.769]],
  "species": ["Cu", "Dy", "Dy", "Dy", "Dy", "In", "Hg", "Hg"],
  "frac_coords": [[0.500, 0.500, 0.500], [0.618, 0.618, 0.145], [0.869, 0.869, 0.392], [0.382, 0.382, 0.855], [0.131, 0.131, 0.608], [0.000, 0.000, 0.000], [0.253, 0.253, 0.240], [0.747, 0.747, 0.760]],
  "crystal_system": "trigonal",
  "formation_energy_ev_per_fu": -3.14,
  "energy_ry_per_atom": -0.266,
  "rho_g_cm3": 10.2,
  "spacegroup": "No. 166"
}

5.
{
  "formula": "La2Br2O",
  "functional": "PBE",
  "state": "optimized geometry",
  "lattice_angstrom": [[-3.471, 4.794, 3.569], [-3.163, -5.306, 4.051], [9.382, -1.745, 5.040]],
  "species": ["O", "O", "O", "O", "La", "La", "La", "La", "La", "La", "La", "La", "Br", "Br", "Br", "Br", "Br", "Br", "Br", "Br"],
  "frac_coords": [[0.135, 0.881, 0.628], [0.635, 0.619, 0.628], [0.865, 0.119, 0.372], [0.365, 0.381, 0.372], [0.739, 0.354, 0.497], [0.141, 0.022, 0.806], [0.261, 0.646, 0.503], [0.641, 0.478, 0.806], [0.239, 0.146, 0.497], [0.859, 0.978, 0.194], [0.761, 0.854, 0.503], [0.359, 0.522, 0.194], [0.492, 0.763, 0.969], [0.667, 0.090, 0.712], [0.008, 0.263, 0.031], [0.508, 0.237, 0.031], [0.992, 0.737, 0.969], [0.333, 0.910, 0.288], [0.833, 0.590, 0.288], [0.167, 0.410, 0.712]],
  "crystal_system": "monoclinic",
  "energy_ry_per_atom": -0.424,
  "e_above_lowest_polymorph_mev_per_atom": 0,
  "rho_g_cm3": 5.7,
  "spacegroup": "No. 14"
}

6.
{
  "formula": "SiB3Br",
  "functional": "PBE",
  "state": "optimized geometry",
  "lattice_angstrom": [[4.119, 0.000, 0.000], [0.000, 4.119, 0.000], [0.000, 0.000, 4.119]],
  "species": ["Si", "B", "B", "B", "Br"],
  "frac_coords": [[0.500, 0.500, 0.500], [0.500, 0.000, 0.000], [0.000, 0.000, 0.500], [0.000, 0.500, 0.000], [0.000, 0.000, 0.000]],
  "crystal_system": "cubic",
  "energy_ry_per_atom": -0.207,
  "e_above_lowest_polymorph_mev_per_atom": 1042,
  "rho_g_cm3": 3.3,
  "spacegroup": "No. 221"
}

7.
{
  "formula": "Cs2TlInCl5",
  "functional": "PBE",
  "state": "optimized geometry",
  "lattice_angstrom": [[-4.447, 2.417, 1.675], [-1.726, 0.313, -5.034], [-5.326, -10.610, 1.166]],
  "species": ["Tl", "Cs", "Cs", "In", "Cl", "Cl", "Cl", "Cl", "Cl"],
  "frac_coords": [[0.000, 0.000, 0.000], [0.500, 0.500, 0.718], [0.500, 0.500, 0.282], [0.000, 0.000, 0.500], [0.000, 0.000, 0.738], [0.000, 0.500, 0.500], [0.500, 0.000, 0.500], [0.500, 0.500, 0.000], [0.000, 0.000, 0.262]],
  "crystal_system": "tetragonal",
  "energy_ry_per_atom": -0.236,
  "rho_g_cm3": 3.7,
  "spacegroup": "No. 123"
}

8.
{
  "formula": "Pa2SiIr",
  "functional": "PBE",
  "state": "optimized geometry",
  "lattice_angstrom": [[3.931, 0.000, 0.000], [0.000, 5.807, -0.129], [0.000, -3.071, 7.627]],
  "species": ["Pa", "Pa", "Pa", "Pa", "Ir", "Ir", "Si", "Si"],
  "frac_coords": [[0.750, 0.214, 0.930], [0.750, 0.209, 0.412], [0.250, 0.786, 0.070], [0.250, 0.791, 0.588], [0.250, 0.330, 0.202], [0.750, 0.670, 0.798], [0.750, 0.657, 0.298], [0.250, 0.343, 0.702]],
  "crystal_system": "monoclinic",
  "energy_ry_per_atom": -0.663,
  "e_above_lowest_polymorph_mev_per_atom": 0,
  "rho_g_cm3": 13.1,
  "spacegroup": "No. 11"
}

9.
{
  "formula": "Zn12NiPd3",
  "functional": "PBE",
  "state": "optimized geometry",
  "lattice_angstrom": [[-3.609, -1.290, -0.171], [0.815, -1.848, -3.262], [4.077, -12.475, 8.085]],
  "species": ["Zn", "Zn", "Zn", "Zn", "Zn", "Zn", "Zn", "Zn", "Zn", "Zn", "Zn", "Zn", "Ni", "Pd", "Pd", "Pd"],
  "frac_coords": [[0.000, 0.500, 0.373], [0.500, 0.000, 0.627], [0.500, 0.000, 0.373], [0.000, 0.500, 0.118], [0.500, 0.500, 0.753], [0.500, 0.500, 0.000], [0.500, 0.000, 0.882], [0.500, 0.500, 0.247], [0.500, 0.500, 0.500], [0.000, 0.500, 0.882], [0.000, 0.500, 0.627], [0.500, 0.000, 0.118], [0.000, 0.000, 0.000], [0.000, 0.000, 0.500], [0.000, 0.000, 0.755], [0.000, 0.000, 0.245]],
  "crystal_system": "tetragonal",
  "formation_energy_ev_per_fu": -4.60,
  "energy_ry_per_atom": -0.189,
  "rho_g_cm3": 8.5,
  "spacegroup": "No. 123"
}

10.
{
  "formula": "ZnTc5",
  "functional": "PBE",
  "state": "optimized geometry",
  "lattice_angstrom": [[2.533, 0.544, 4.235], [-3.615, -3.389, -0.312], [3.070, -3.143, -1.433]],
  "species": ["Tc", "Tc", "Tc", "Tc", "Tc", "Zn"],
  "frac_coords": [[0.667, 0.333, 0.000], [0.500, 0.000, 0.500], [0.333, 0.667, 0.000], [0.000, 0.500, 0.500], [0.500, 0.500, 0.500], [0.000, 0.000, 0.000]],
  "crystal_system": "hexagonal",
  "formation_energy_ev_per_fu": 3.10,
  "energy_ry_per_atom": -0.613,
  "e_above_lowest_polymorph_mev_per_atom": 496,
  "rho_g_cm3": 9.4,
  "spacegroup": "No. 191"
}

11.
{
  "formula": "CaRuSe2",
  "functional": "PBE",
  "state": "optimized geometry",
  "lattice_angstrom": [[4.767, 0.001, -0.003], [-0.001, 4.767, -0.003], [0.003, 0.003, 3.287]],
  "species": ["Ru", "Ca", "Se", "Se"],
  "frac_coords": [[0.000, 0.500, 0.500], [0.500, 0.000, 0.500], [0.500, 0.500, 0.000], [0.000, 0.000, 0.000]],
  "crystal_system": "tetragonal",
  "energy_ry_per_atom": -0.371,
  "e_above_lowest_polymorph_mev_per_atom": 394,
  "rho_g_cm3": 6.6,
  "spacegroup": "No. 123"
}

12.
{
  "formula": "Ho5Th2Sc12",
  "functional": "PBE",
  "state": "optimized geometry",
  "lattice_angstrom": [[-4.815, 4.850, -5.476], [-5.519, -9.744, 3.225], [2.025, 6.609, 4.073]],
  "species": ["Sc", "Sc", "Sc", "Sc", "Sc", "Sc", "Sc", "Sc", "Sc", "Sc", "Sc", "Sc", "Ho", "Ho", "Ho", "Ho", "Ho", "Th", "Th"],
  "frac_coords": [[0.024, 0.689, 0.940], [0.334, 0.311, 0.060], [0.447, 0.893, 0.220], [0.907, 0.815, 0.702], [0.817, 0.250, 0.599], [0.183, 0.750, 0.401], [0.566, 0.750, 0.401], [0.553, 0.107, 0.780], [0.434, 0.250, 0.599], [0.976, 0.311, 0.060], [0.093, 0.185, 0.298], [0.666, 0.689, 0.940], [0.237, 0.475, 0.895], [0.000, 0.000, 0.500], [0.698, 0.395, 0.392], [0.763, 0.525, 0.105], [0.302, 0.605, 0.608], [0.308, 0.000, 0.000], [0.692, 0.000, 0.000]],
  "crystal_system": "monoclinic",
  "formation_energy_ev_per_fu": 3.01,
  "energy_ry_per_atom": -0.428,
  "rho_g_cm3": 5.8,
  "spacegroup": "No. 12"
}

13.
{
  "formula": "Na2ZrI6",
  "functional": "PBE",
  "state": "optimized geometry",
  "lattice_angstrom": [[-2.383, -6.843, -2.330], [6.935, -3.307, 2.620], [-4.681, -1.560, 10.423]],
  "species": ["I", "I", "I", "I", "I", "I", "I", "I", "I", "I", "I", "I", "Zr", "Zr", "Na", "Na", "Na", "Na"],
  "frac_coords": [[0.805, 0.687, 0.935], [0.355, 0.538, 0.767], [0.669, 0.198, 0.933], [0.169, 0.302, 0.433], [0.831, 0.698, 0.567], [0.855, 0.962, 0.267], [0.695, 0.187, 0.565], [0.195, 0.313, 0.065], [0.305, 0.813, 0.435], [0.145, 0.038, 0.733], [0.331, 0.802, 0.067], [0.645, 0.462, 0.233], [0.000, 0.000, 0.500], [0.500, 0.500, 0.000], [0.048, 0.605, 0.231], [0.952, 0.395, 0.769], [0.452, 0.105, 0.269], [0.548, 0.895, 0.731]],
  "crystal_system": "monoclinic",
  "energy_ry_per_atom": -0.244,
  "e_above_lowest_polymorph_mev_per_atom": 0,
  "rho_g_cm3": 4.2,
  "spacegroup": "No. 14"
}

14.
{
  "formula": "Cr2SiGeS",
  "functional": "PBE",
  "state": "optimized geometry",
  "lattice_angstrom": [[-0.634, -2.487, -4.115], [-2.980, -2.751, 2.122], [-3.626, 2.973, -1.238]],
  "species": ["Cr", "Cr", "S", "Ge", "Si"],
  "frac_coords": [[0.500, 0.000, 0.000], [0.000, 0.000, 0.500], [0.500, 0.500, 0.500], [0.000, 0.000, 0.000], [0.000, 0.500, 0.000]],
  "crystal_system": "tetragonal",
  "energy_ry_per_atom": -0.419,
  "rho_g_cm3": 3.7,
  "spacegroup": "No. 123"
}

15.
{
  "formula": "VWS3",
  "functional": "PBE",
  "state": "optimized geometry",
  "lattice_angstrom": [[4.678, 0.000, 0.000], [0.000, 4.678, 0.000], [0.000, 0.000, 4.678]],
  "species": ["S", "S", "S", "W", "V"],
  "frac_coords": [[0.000, 0.500, 0.000], [0.500, 0.000, 0.000], [0.000, 0.000, 0.500], [0.000, 0.000, 0.000], [0.500, 0.500, 0.500]],
  "crystal_system": "cubic",
  "energy_ry_per_atom": -0.482,
  "e_above_lowest_polymorph_mev_per_atom": 0,
  "rho_g_cm3": 5.4,
  "spacegroup": "No. 221"
}

16.
{
  "formula": "AcUTe4",
  "functional": "PBE",
  "state": "optimized geometry",
  "lattice_angstrom": [[-2.926, 4.228, -5.054], [3.570, -6.042, -4.659], [-6.237, -2.822, 5.161]],
  "species": ["Te", "Te", "Te", "Te", "Te", "Te", "Te", "Te", "Ac", "Ac", "U", "U"],
  "frac_coords": [[0.199, 0.287, 0.347], [0.352, 0.940, 0.653], [0.010, 0.223, 0.867], [0.642, 0.356, 0.133], [0.801, 0.713, 0.653], [0.358, 0.644, 0.867], [0.990, 0.777, 0.133], [0.648, 0.060, 0.347], [0.617, 0.367, 0.735], [0.383, 0.633, 0.265], [0.756, 0.006, 0.012], [0.244, 0.994, 0.988]],
  "crystal_system": "monoclinic",
  "energy_ry_per_atom": -0.412,
  "rho_g_cm3": 7.8,
  "spacegroup": "No. 15"
}

17.
{
  "formula": "K2ScCu",
  "functional": "PBE",
  "state": "optimized geometry",
  "lattice_angstrom": [[-0.945, 2.128, -2.574], [1.403, -2.202, -2.287], [-9.867, -5.407, -0.847]],
  "species": ["Sc", "Cu", "K", "K"],
  "frac_coords": [[0.500, 0.500, 0.250], [0.500, 0.500, 0.750], [0.000, 0.000, 0.550], [0.000, 0.000, 0.950]],
  "crystal_system": "orthorhombic",
  "formation_energy_ev_per_fu": 2.58,
  "energy_ry_per_atom": -0.184,
  "e_above_lowest_polymorph_mev_per_atom": 391,
  "rho_g_cm3": 2.3,
  "spacegroup": "No. 65"
}

18.
{
  "formula": "KCd4Si",
  "functional": "PBE",
  "state": "optimized geometry",
  "lattice_angstrom": [[0.000, 4.253, 4.253], [4.253, 0.000, 4.253], [4.253, 4.253, 0.000]],
  "species": ["Cd", "Cd", "Cd", "Cd", "K", "Si"],
  "frac_coords": [[0.375, 0.375, 0.876], [0.876, 0.375, 0.375], [0.375, 0.375, 0.375], [0.375, 0.876, 0.375], [0.750, 0.750, 0.750], [0.000, 0.000, 0.000]],
  "crystal_system": "cubic",
  "energy_ry_per_atom": -0.108,
  "rho_g_cm3": 5.6,
  "spacegroup": "No. 216"
}

19.
{
  "formula": "CaY2Pt2",
  "functional": "PBE",
  "state": "optimized geometry",
  "lattice_angstrom": [[-1.441, -1.690, 4.742], [4.715, -2.182, 0.655], [3.423, 2.569, 4.847]],
  "species": ["Ca", "Pt", "Pt", "Y", "Y"],
  "frac_coords": [[0.000, 0.000, 0.000], [0.750, 0.250, 0.500], [0.250, 0.750, 0.500], [0.664, 0.664, 0.672], [0.336, 0.336, 0.328]],
  "crystal_system": "tetragonal",
  "formation_energy_ev_per_fu": -3.06,
  "energy_ry_per_atom": -0.442,
  "e_above_lowest_polymorph_mev_per_atom": 392,
  "rho_g_cm3": 6.9,
  "spacegroup": "No. 139"
}

20.
{
  "formula": "La2Cd2Au",
  "functional": "PBE",
  "state": "optimized geometry",
  "lattice_angstrom": [[-3.895, 2.028, -4.443], [3.702, -2.480, -4.378], [-2.139, -3.666, -4.190]],
  "species": ["Cd", "Cd", "La", "La", "Au"],
  "frac_coords": [[0.339, 0.339, 0.321], [0.661, 0.661, 0.679], [0.250, 0.750, 0.500], [0.750, 0.250, 0.500], [0.000, 0.000, 0.000]],
  "crystal_system": "tetragonal",
  "formation_energy_ev_per_fu": -0.23,
  "energy_ry_per_atom": -0.223,
  "e_above_lowest_polymorph_mev_per_atom": 299,
  "rho_g_cm3": 7.4,
  "spacegroup": "No. 139"
}